Computed, not measured: an optimized crystal structure of Sc2TaZnOs at the PBE-GGA level of DFT.

Properties
As for the energy relative to the elements: 0.964 eV per atom. For the total energy, the calculation gives -6.440 eV/atom.

```
5
Lattice="4.767 0.000 0.000 0.000 4.767 0.000 0.000 0.000 4.570" Properties=species:S:1:pos:R:3 pbc="T T T"
Sc 0.000 2.383 0.000
Sc 2.383 0.000 0.000
Ta 0.000 0.000 2.285
Zn 2.383 2.383 0.000
Os 2.383 2.383 2.285
```

=====

Computed, not measured: an optimized crystal structure of VSnHg at the PBE-GGA level of DFT.

Properties
As for the energy relative to the elements: 0.318 eV per atom. For the total energy, the calculation gives -4.157 eV/atom.

```
12
Lattice="2.852 -5.514 0.000 2.852 5.514 0.000 0.000 0.000 7.988" Properties=species:S:1:pos:R:3 pbc="T T T"
V 2.852 4.533 7.477
V 2.852 0.981 3.483
V 2.852 -0.981 4.504
V 2.852 -4.533 0.510
Sn 2.852 3.658 4.718
Sn 2.852 1.856 0.724
Sn 2.852 -1.856 7.263
Sn 2.852 -3.658 3.270
Hg 1.426 1.020 5.991
Hg 1.426 -1.020 1.997
Hg 4.279 1.020 5.991
Hg 4.279 -1.020 1.997
```

=====

Computed, not measured: an optimized crystal structure of MgOsW2 at the PBE-GGA level of DFT.

Properties
As for the energy relative to the elements: 0.339 eV per atom. For the total energy, the calculation gives -9.344 eV/atom.

```
4
Lattice="1.408 0.813 9.507 -1.408 0.813 9.507 0.000 -1.625 9.507" Properties=species:S:1:pos:R:3 pbc="T T T"
Mg 0.000 0.000 0.000
Os 0.000 0.000 14.260
W 0.000 0.000 6.985
W 0.000 0.000 21.535
```

=====

Computed, not measured: an optimized crystal structure of TlReBr2 at the PBE-GGA level of DFT.

Properties
Its energy above the most stable polymorph in this dataset is 4.78 kcal/mol of atoms. For the total energy, the calculation gives -4.015 eV/atom.

```
4
Lattice="1.730 0.999 10.019 -1.730 0.999 10.019 0.000 -1.997 10.019" Properties=species:S:1:pos:R:3 pbc="T T T"
Tl 0.000 0.000 0.000
Re 0.000 0.000 15.028
Br 0.000 0.000 6.675
Br 0.000 0.000 23.381
```

=====

Computed, not measured: an optimized crystal structure of MgHg2Pb at the PBE-GGA level of DFT.

Properties
As for the energy relative to the elements: -0.036 eV per atom. For the total energy, the calculation gives -1.513 eV/atom.

```
4
Lattice="5.274 0.000 0.000 0.000 5.274 0.000 0.000 0.000 3.676" Properties=species:S:1:pos:R:3 pbc="T T T"
Mg 0.000 0.000 0.000
Hg 0.000 2.637 1.838
Hg 2.637 0.000 1.838
Pb 2.637 2.637 0.000
```

=====

Computed, not measured: an optimized crystal structure of LaAl2Pd at the PBE-GGA level of DFT.

Properties
As for the energy relative to the elements: -0.586 eV per atom. For the total energy, the calculation gives -4.988 eV/atom.

```
4
Lattice="3.244 0.000 0.000 0.000 3.244 0.000 0.000 0.000 7.569" Properties=species:S:1:pos:R:3 pbc="T T T"
La 0.000 0.000 0.000
Al 1.622 1.622 2.373
Al 1.622 1.622 5.196
Pd 0.000 0.000 3.784
```

=====

| no. | D(E_F) (states/eV/atom) |
| --- | --- |
| 1 | 1.1683 |
| 2 | 0.8617 |
| 3 | 0.7696 |
| 4 | 0.6336 |
| 5 | 0.5588 |
| 6 | 0.5307 |